--- a ---
A plane-wave DFT calculation with PBE was carried out for a geometry-optimized CaPmEr2 structure.

Properties
Size of the total moment ... 0.00 μB per cell
Space-group type ... P4/mmm

Cell: 3.6333 3.6333 10.3290 Å, 90.00 90.00 90.00°
Fractional positions:
1 Er 0.0000 0.0000 0.2323
2 Er 0.0000 0.0000 0.7677
3 Pm 0.5000 0.5000 0.0000
4 Ca 0.5000 0.5000 0.5000


--- b ---
A plane-wave DFT calculation with PBE was carried out for a geometry-optimized CaPmEr2 structure.

Properties
Size of the total moment ... 0.04 μB per cell
Space-group type ... Fm-3m

Cell: 5.7461 5.7461 5.7461 Å, 60.00 60.00 60.00°
Fractional positions:
1 Er 0.7500 0.7500 0.7500
2 Er 0.2500 0.2500 0.2500
3 Pm 0.0000 0.0000 0.0000
4 Ca 0.5000 0.5000 0.5000


--- c ---
A plane-wave DFT calculation with PBE was carried out for a geometry-optimized CaPmEr2 structure.

Properties
Size of the total moment ... 0.00 μB per cell
Space-group type ... R-3m

Cell: 3.5532 3.5532 12.6922 Å, 81.95 81.95 60.00°
Fractional positions:
1 Er 0.0903 0.0903 0.7290
2 Er 0.9097 0.9097 0.2710
3 Ca 0.0000 0.0000 0.0000
4 Pm 0.5000 0.5000 0.5000


Least stable structure: b


--- a ---
A plane-wave DFT calculation with PBE was carried out for a geometry-optimized CaPm3Er structure.

Properties
Size of the total moment ... 0.00 μB per cell
Space-group type ... R-3

Cell: 6.1838 6.1838 12.2760 Å, 75.41 75.41 60.00°
Fractional positions:
1 Pm 0.2485 0.9041 0.2657
2 Pm 0.4183 0.7515 0.7343
3 Pm 0.5817 0.2485 0.2657
4 Pm 0.0959 0.4183 0.7343
5 Pm 0.9041 0.5817 0.2657
6 Pm 0.7515 0.0959 0.7343
7 Ca 0.3332 0.3332 0.0004
8 Ca 0.6667 0.6667 0.9998
9 Er 0.8336 0.8336 0.4992
10 Er 0.1664 0.1664 0.5008


--- b ---
A plane-wave DFT calculation with PBE was carried out for a geometry-optimized CaPm3Er structure.

Properties
Size of the total moment ... 0.00 μB per cell
Space-group type ... Cmcm

Cell: 6.4111 6.7134 9.6656 Å, 69.68 90.00 90.00°
Fractional positions:
1 Er 0.2500 0.4538 0.0924
2 Er 0.7500 0.5462 0.9076
3 Pm 0.5000 0.0000 0.0000
4 Pm 0.7500 0.6044 0.2700
5 Pm 0.2500 0.3956 0.7300
6 Pm 0.7500 0.1256 0.2700
7 Pm 0.0000 0.0000 0.0000
8 Pm 0.2500 0.8744 0.7300
9 Ca 0.7500 0.1835 0.6330
10 Ca 0.2500 0.8165 0.3670


Least stable structure: a


--- a ---
A plane-wave DFT calculation with PBE was carried out for a geometry-optimized CaPrEr2 structure.

Properties
Size of the total moment ... 0.00 μB per cell
Space-group type ... R-3m

Cell: 3.5682 3.5682 12.7535 Å, 81.96 81.96 60.00°
Fractional positions:
1 Er 0.9102 0.9102 0.2694
2 Er 0.0898 0.0898 0.7306
3 Ca 0.0000 0.0000 0.0000
4 Pr 0.5000 0.5000 0.5000


--- b ---
A plane-wave DFT calculation with PBE was carried out for a geometry-optimized CaPrEr2 structure.

Properties
Size of the total moment ... 0.00 μB per cell
Space-group type ... P4/mmm

Cell: 3.6589 3.6589 10.3343 Å, 90.00 90.00 90.00°
Fractional positions:
1 Pr 0.5000 0.5000 0.0000
2 Er 0.0000 0.0000 0.7656
3 Er 0.0000 0.0000 0.2344
4 Ca 0.5000 0.5000 0.5000


--- c ---
A plane-wave DFT calculation with PBE was carried out for a geometry-optimized CaPrEr2 structure.

Properties
Size of the total moment ... 0.00 μB per cell
Space-group type ... P4/mmm

Cell: 5.1976 5.1000 5.1000 Å, 90.00 90.00 90.00°
Fractional positions:
1 Pr 0.5000 0.0000 0.0000
2 Er 0.0000 0.5000 0.0000
3 Er 0.0000 0.0000 0.5000
4 Ca 0.5000 0.5000 0.5000


Least stable structure: a


--- a ---
A plane-wave DFT calculation with PBE was carried out for a geometry-optimized CaPrEr2 structure.

Properties
Size of the total moment ... 0.00 μB per cell
Space-group type ... R3m

Cell: 3.6211 3.6211 12.2023 Å, 81.47 81.47 60.00°
Fractional positions:
1 Er 0.2534 0.2534 0.2397
2 Er 0.0799 0.0799 0.7603
3 Pr 0.6662 0.6662 0.0015
4 Ca 0.5005 0.5005 0.4985


--- b ---
A plane-wave DFT calculation with PBE was carried out for a geometry-optimized CaPrEr2 structure.

Properties
Size of the total moment ... 0.05 μB per cell
Space-group type ... Fm-3m

Cell: 5.7726 5.7726 5.7726 Å, 60.00 60.00 60.00°
Fractional positions:
1 Pr 0.0000 0.0000 0.0000
2 Ca 0.5000 0.5000 0.5000
3 Er 0.7500 0.7500 0.7500
4 Er 0.2500 0.2500 0.2500


Least stable structure: b


--- a ---
A plane-wave DFT calculation with PBE was carried out for a geometry-optimized Ca2PrEr structure.

Properties
Size of the total moment ... 0.00 μB per cell
Space-group type ... Pm

Cell: 3.7000 6.3696 8.8472 Å, 43.97 89.81 89.73°
Fractional positions:
1 Pr 0.1762 0.7742 0.1847
2 Ca 0.6740 0.4408 0.6847
3 Ca 0.1729 0.9370 0.6846
4 Er 0.6758 0.2739 0.1848


--- b ---
A plane-wave DFT calculation with PBE was carried out for a geometry-optimized Ca2PrEr structure.

Properties
Size of the total moment ... 0.00 μB per cell
Space-group type ... P4/mmm

Cell: 4.2415 5.8529 5.8529 Å, 90.00 90.00 90.00°
Fractional positions:
1 Pr 0.5000 0.0000 0.0000
2 Er 0.5000 0.5000 0.5000
3 Ca 0.0000 0.5000 0.0000
4 Ca 0.0000 0.0000 0.5000


--- c ---
A plane-wave DFT calculation with PBE was carried out for a geometry-optimized Ca2PrEr structure.

Properties
Size of the total moment ... 0.00 μB per cell
Space-group type ... Fm-3m

Cell: 5.9016 5.9016 5.9016 Å, 60.00 60.00 60.00°
Fractional positions:
1 Er 0.5000 0.5000 0.5000
2 Ca 0.7500 0.7500 0.7500
3 Ca 0.2500 0.2500 0.2500
4 Pr 0.0000 0.0000 0.0000


Least stable structure: b


--- a ---
A plane-wave DFT calculation with PBE was carried out for a geometry-optimized Ca2PrEr structure.

Properties
Size of the total moment ... 0.57 μB per cell
Space-group type ... R-3m

Cell: 3.6005 3.6005 13.3496 Å, 82.25 82.25 60.00°
Last column: magnetic moment on the atom in μB.
Fractional positions:
1 Ca 0.0863 0.0863 0.7412  0.02
2 Ca 0.9137 0.9137 0.2588  0.02
3 Pr 0.5000 0.5000 0.5000  -0.01
4 Er 0.0000 0.0000 0.0000  0.31


--- b ---
A plane-wave DFT calculation with PBE was carried out for a geometry-optimized Ca2PrEr structure.

Properties
Size of the total moment ... 0.00 μB per cell
Space-group type ... P4/mmm

Cell: 4.1545 4.1545 8.4281 Å, 90.00 90.00 90.00°
Fractional positions:
1 Ca 0.0000 0.0000 0.2413
2 Ca 0.0000 0.0000 0.7587
3 Er 0.5000 0.5000 0.0000
4 Pr 0.5000 0.5000 0.5000


Least stable structure: a